Crystalline Rb2TbNiF6 at its relaxed geometry, computed with PBE with a Hubbard U.

Output
- magnetic moment (μB per formula unit) = 1.0
- energy (eV/atom) = -4.990

CIF file:
```
data_Rb2TbNiF6
_space_group_name_H-M_alt 'C 1 2/m 1'
_space_group_IT_number 12
_cell_length_a 11.782
_cell_length_b 6.033
_cell_length_c 6.033
_cell_angle_alpha 90.00
_cell_angle_beta 120.79
_cell_angle_gamma 90.00
loop_
_space_group_symop_operation_xyz
'x,y,z'
'-x,-y,-z'
'-x,y,-z'
'x,-y,z'
'x+1/2,y+1/2,z'
'-x+1/2,-y+1/2,-z'
'-x+1/2,y+1/2,-z'
'x+1/2,-y+1/2,z'
loop_
_atom_site_label
_atom_site_type_symbol
_atom_site_fract_x
_atom_site_fract_y
_atom_site_fract_z
Rb1 Rb 0.250 0.000 0.250
Tb1 Tb 0.000 0.000 0.500
Ni1 Ni 0.000 0.500 0.000
F1 F 0.001 0.257 0.244
F2 F 0.216 0.000 0.717
```